Here is crystalline InMoW2 at its relaxed geometry from Alexandria. Energies are from PBE.

Cell and atoms, written as extended XYZ:
```
4
Lattice="3.349 0.000 0.000 0.000 3.349 0.000 0.000 0.000 6.200" Properties=species:S:1:pos:R:3 pbc="T T T"
In 0.000 0.000 3.111
Mo 1.674 1.674 4.823
W 0.000 0.000 6.200
W 1.674 1.674 1.367
```

Values from the calculation:
density of states at the Fermi level: 0.5366 states/eV per atom
density: 13.81 g cm⁻³
space group: No. 99
energy of formation from the pure elements: 0.3671 eV per atom
uncorrected energy: -9.502 eV/atom